1.
Density functional theory data (PBE) for Ca3Ge2As4 after structural relaxation.

Cell and atoms, written as CIF:
```
data_Ca3Ge2As4
_symmetry_space_group_name_H-M 'P 1'
_symmetry_Int_Tables_number 1
_cell_length_a 8.5466
_cell_length_b 8.5466
_cell_length_c 6.3287
_cell_angle_alpha 91.97
_cell_angle_beta 91.97
_cell_angle_gamma 79.69
loop_
_symmetry_equiv_pos_as_xyz
'x,y,z'
loop_
_atom_site_label
_atom_site_type_symbol
_atom_site_fract_x
_atom_site_fract_y
_atom_site_fract_z
_atom_site_occupancy
Ca1 Ca 0.1121 0.8879 0.7500 1
Ca2 Ca 0.2497 0.5060 0.0496 1
Ca3 Ca 0.4940 0.7503 0.4504 1
Ca4 Ca 0.5060 0.2497 0.5496 1
Ca5 Ca 0.7503 0.4940 0.9504 1
Ca6 Ca 0.8879 0.1121 0.2500 1
Ge1 Ge 0.0858 0.3236 0.5536 1
Ge2 Ge 0.3236 0.0858 0.0536 1
Ge3 Ge 0.6764 0.9142 0.9464 1
Ge4 Ge 0.9142 0.6764 0.4464 1
As1 As 0.0604 0.2488 0.9267 1
As2 As 0.2418 0.5494 0.5602 1
As3 As 0.2488 0.0604 0.4267 1
As4 As 0.4506 0.7582 0.9398 1
As5 As 0.5494 0.2418 0.0602 1
As6 As 0.7512 0.9396 0.5733 1
As7 As 0.7582 0.4506 0.4398 1
As8 As 0.9396 0.7512 0.0733 1
```

Computed properties:
DOS at the Fermi energy   0.18 states/eV/atom
Mass density   4.1 g/cm3
Excess energy over the best structure of this formula in the dataset   123 meV/atom
Space group   No. 15
Energy of formation from the pure elements   -64 kJ per mole of atoms

=====

2.
Density functional theory data (PBE) for Ca2GeAs after structural relaxation.

Cell and atoms, written as CIF:
```
data_Ca2GeAs
_symmetry_space_group_name_H-M 'P 1'
_symmetry_Int_Tables_number 1
_cell_length_a 5.1632
_cell_length_b 5.1632
_cell_length_c 5.1632
_cell_angle_alpha 60.00
_cell_angle_beta 60.00
_cell_angle_gamma 60.00
loop_
_symmetry_equiv_pos_as_xyz
'x,y,z'
loop_
_atom_site_label
_atom_site_type_symbol
_atom_site_fract_x
_atom_site_fract_y
_atom_site_fract_z
_atom_site_occupancy
Ca1 Ca 0.2500 0.2500 0.2500 1
Ca2 Ca 0.7500 0.7500 0.7500 1
Ge1 Ge 0.0000 0.0000 0.0000 1
As1 As 0.5000 0.5000 0.5000 1
```

Computed properties:
DOS at the Fermi energy   0.59 states/eV/atom
Mass density   3.9 g/cm3
Excess energy over the best structure of this formula in the dataset   0 meV/atom
Space group   No. 225
Energy of formation from the pure elements   -61 kJ per mole of atoms

=====

3.
Density functional theory data (PBE) for Ca2GeAs2 after structural relaxation.

Cell and atoms, written as CIF:
```
data_Ca2GeAs2
_symmetry_space_group_name_H-M 'P 1'
_symmetry_Int_Tables_number 1
_cell_length_a 7.4218
_cell_length_b 7.4218
_cell_length_c 4.2687
_cell_angle_alpha 90.00
_cell_angle_beta 90.00
_cell_angle_gamma 90.00
loop_
_symmetry_equiv_pos_as_xyz
'x,y,z'
loop_
_atom_site_label
_atom_site_type_symbol
_atom_site_fract_x
_atom_site_fract_y
_atom_site_fract_z
_atom_site_occupancy
Ca1 Ca 0.1775 0.3225 0.0000 1
Ca2 Ca 0.3225 0.8225 0.0000 1
Ca3 Ca 0.6775 0.1775 0.0000 1
Ca4 Ca 0.8225 0.6775 0.0000 1
Ge1 Ge 0.0000 0.0000 0.5000 1
Ge2 Ge 0.5000 0.5000 0.5000 1
As1 As 0.1248 0.6248 0.5000 1
As2 As 0.3752 0.1248 0.5000 1
As3 As 0.6248 0.8752 0.5000 1
As4 As 0.8752 0.3752 0.5000 1
```

Computed properties:
DOS at the Fermi energy   0.46 states/eV/atom
Mass density   4.3 g/cm3
Excess energy over the best structure of this formula in the dataset   12 meV/atom
Space group   No. 127
Energy of formation from the pure elements   -70 kJ per mole of atoms

=====

4.
Density functional theory data (PBE) for Ca5Ge2As2 after structural relaxation.

Cell and atoms, written as CIF:
```
data_Ca5Ge2As2
_symmetry_space_group_name_H-M 'P 1'
_symmetry_Int_Tables_number 1
_cell_length_a 8.6662
_cell_length_b 8.6662
_cell_length_c 7.8288
_cell_angle_alpha 90.00
_cell_angle_beta 90.00
_cell_angle_gamma 53.81
loop_
_symmetry_equiv_pos_as_xyz
'x,y,z'
loop_
_atom_site_label
_atom_site_type_symbol
_atom_site_fract_x
_atom_site_fract_y
_atom_site_fract_z
_atom_site_occupancy
Ca1 Ca 0.0000 0.0000 0.0000 1
Ca2 Ca 0.0265 0.6806 0.6680 1
Ca3 Ca 0.1806 0.5265 0.1680 1
Ca4 Ca 0.3194 0.9735 0.6680 1
Ca5 Ca 0.4735 0.8194 0.1680 1
Ca6 Ca 0.5000 0.5000 0.5000 1
Ca7 Ca 0.5265 0.1806 0.8320 1
Ca8 Ca 0.6806 0.0265 0.3320 1
Ca9 Ca 0.8194 0.4735 0.8320 1
Ca10 Ca 0.9735 0.3194 0.3320 1
Ge1 Ge 0.1110 0.8890 0.3882 1
Ge2 Ge 0.3890 0.6110 0.8882 1
Ge3 Ge 0.6110 0.3890 0.1118 1
Ge4 Ge 0.8890 0.1110 0.6118 1
As1 As 0.1967 0.1967 0.0000 1
As2 As 0.3033 0.3033 0.5000 1
As3 As 0.6967 0.6967 0.5000 1
As4 As 0.8033 0.8033 0.0000 1
```

Computed properties:
DOS at the Fermi energy   0.81 states/eV/atom
Mass density   3.5 g/cm3
Space group   No. 64
Energy of formation from the pure elements   -85 kJ per mole of atoms

=====

5.
Density functional theory data (PBE) for Ca3GeAs3 after structural relaxation.

Cell and atoms, written as CIF:
```
data_Ca3GeAs3
_symmetry_space_group_name_H-M 'P 1'
_symmetry_Int_Tables_number 1
_cell_length_a 8.7410
_cell_length_b 8.7410
_cell_length_c 5.9268
_cell_angle_alpha 90.00
_cell_angle_beta 90.00
_cell_angle_gamma 120.00
loop_
_symmetry_equiv_pos_as_xyz
'x,y,z'
loop_
_atom_site_label
_atom_site_type_symbol
_atom_site_fract_x
_atom_site_fract_y
_atom_site_fract_z
_atom_site_occupancy
Ca1 Ca 0.0746 0.3813 0.2500 1
Ca2 Ca 0.3067 0.9254 0.2500 1
Ca3 Ca 0.3813 0.3067 0.7500 1
Ca4 Ca 0.6187 0.6933 0.2500 1
Ca5 Ca 0.6933 0.0746 0.7500 1
Ca6 Ca 0.9254 0.6187 0.7500 1
Ge1 Ge 0.3333 0.6667 0.7500 1
Ge2 Ge 0.6667 0.3333 0.2500 1
As1 As 0.0793 0.3699 0.7500 1
As2 As 0.2907 0.9207 0.7500 1
As3 As 0.3699 0.2907 0.2500 1
As4 As 0.6301 0.7093 0.7500 1
As5 As 0.7093 0.0793 0.2500 1
As6 As 0.9207 0.6301 0.2500 1
```

Computed properties:
DOS at the Fermi energy   0.46 states/eV/atom
Mass density   3.5 g/cm3
Excess energy over the best structure of this formula in the dataset   42 meV/atom
Space group   No. 176
Energy of formation from the pure elements   -78 kJ per mole of atoms

=====

6.
Density functional theory data (PBE) for Ca2GeAs after structural relaxation.

Cell and atoms, written as CIF:
```
data_Ca2GeAs
_symmetry_space_group_name_H-M 'P 1'
_symmetry_Int_Tables_number 1
_cell_length_a 6.5516
_cell_length_b 6.5516
_cell_length_c 6.5516
_cell_angle_alpha 104.63
_cell_angle_beta 104.63
_cell_angle_gamma 119.66
loop_
_symmetry_equiv_pos_as_xyz
'x,y,z'
loop_
_atom_site_label
_atom_site_type_symbol
_atom_site_fract_x
_atom_site_fract_y
_atom_site_fract_z
_atom_site_occupancy
Ca1 Ca 0.1101 0.6250 0.9851 1
Ca2 Ca 0.3750 0.3601 0.4851 1
Ca3 Ca 0.6399 0.1250 0.0149 1
Ca4 Ca 0.8750 0.8899 0.5149 1
Ge1 Ge 0.2500 0.7500 0.5000 1
Ge2 Ge 0.5000 0.5000 0.0000 1
As1 As 0.0000 0.0000 0.0000 1
As2 As 0.7500 0.2500 0.5000 1
```

Computed properties:
DOS at the Fermi energy   0.61 states/eV/atom
Mass density   3.6 g/cm3
Excess energy over the best structure of this formula in the dataset   184 meV/atom
Space group   No. 122
Energy of formation from the pure elements   -44 kJ per mole of atoms

=====

7.
Density functional theory data (PBE) for Ca2GeAs2 after structural relaxation.

Cell and atoms, written as CIF:
```
data_Ca2GeAs2
_symmetry_space_group_name_H-M 'P 1'
_symmetry_Int_Tables_number 1
_cell_length_a 7.1621
_cell_length_b 7.1621
_cell_length_c 9.3303
_cell_angle_alpha 125.27
_cell_angle_beta 125.27
_cell_angle_gamma 49.14
loop_
_symmetry_equiv_pos_as_xyz
'x,y,z'
loop_
_atom_site_label
_atom_site_type_symbol
_atom_site_fract_x
_atom_site_fract_y
_atom_site_fract_z
_atom_site_occupancy
Ca1 Ca 0.1052 0.1052 0.4142 1
Ca2 Ca 0.3103 0.3103 0.2003 1
Ca3 Ca 0.6897 0.6897 0.7997 1
Ca4 Ca 0.8948 0.8948 0.5858 1
Ge1 Ge 0.3963 0.3963 0.8473 1
Ge2 Ge 0.6037 0.6037 0.1527 1
As1 As 0.1905 0.1905 0.7986 1
As2 As 0.3963 0.3963 0.5878 1
As3 As 0.6037 0.6037 0.4122 1
As4 As 0.8095 0.8095 0.2014 1
```

Computed properties:
DOS at the Fermi energy   0.20 states/eV/atom
Mass density   3.6 g/cm3
Excess energy over the best structure of this formula in the dataset   0 meV/atom
Space group   No. 12
Energy of formation from the pure elements   -71 kJ per mole of atoms

=====

8.
Density functional theory data (PBE) for CaGeAs3 after structural relaxation.

Cell and atoms, written as CIF:
```
data_CaGeAs3
_symmetry_space_group_name_H-M 'P 1'
_symmetry_Int_Tables_number 1
_cell_length_a 5.2948
_cell_length_b 5.2948
_cell_length_c 5.2948
_cell_angle_alpha 90.00
_cell_angle_beta 90.00
_cell_angle_gamma 90.00
loop_
_symmetry_equiv_pos_as_xyz
'x,y,z'
loop_
_atom_site_label
_atom_site_type_symbol
_atom_site_fract_x
_atom_site_fract_y
_atom_site_fract_z
_atom_site_occupancy
Ca1 Ca 0.0000 0.0000 0.0000 1
Ge1 Ge 0.5000 0.5000 0.5000 1
As1 As 0.0000 0.0000 0.5000 1
As2 As 0.0000 0.5000 0.0000 1
As3 As 0.5000 0.0000 0.0000 1
```

Computed properties:
DOS at the Fermi energy   0.95 states/eV/atom
Mass density   3.8 g/cm3
Excess energy over the best structure of this formula in the dataset   747 meV/atom
Space group   No. 221
Energy of formation from the pure elements   85 kJ per mole of atoms

=====

9.
Density functional theory data (PBE) for CaGe2As2 after structural relaxation.

Cell and atoms, written as CIF:
```
data_CaGe2As2
_symmetry_space_group_name_H-M 'P 1'
_symmetry_Int_Tables_number 1
_cell_length_a 7.4886
_cell_length_b 7.4886
_cell_length_c 3.8981
_cell_angle_alpha 90.00
_cell_angle_beta 90.00
_cell_angle_gamma 90.00
loop_
_symmetry_equiv_pos_as_xyz
'x,y,z'
loop_
_atom_site_label
_atom_site_type_symbol
_atom_site_fract_x
_atom_site_fract_y
_atom_site_fract_z
_atom_site_occupancy
Ca1 Ca 0.0000 0.0000 0.0000 1
Ca2 Ca 0.5000 0.5000 0.0000 1
Ge1 Ge 0.1528 0.3472 0.5000 1
Ge2 Ge 0.3472 0.8472 0.5000 1
Ge3 Ge 0.6528 0.1528 0.5000 1
Ge4 Ge 0.8472 0.6528 0.5000 1
As1 As 0.1354 0.6354 0.0000 1
As2 As 0.3646 0.1354 0.0000 1
As3 As 0.6354 0.8646 0.0000 1
As4 As 0.8646 0.3646 0.0000 1
```

Computed properties:
DOS at the Fermi energy   0.72 states/eV/atom
Mass density   5.1 g/cm3
Space group   No. 127
Energy of formation from the pure elements   -11 kJ per mole of atoms

=====

10.
Density functional theory data (PBE) for Ca2Ge2As after structural relaxation.

Cell and atoms, written as CIF:
```
data_Ca2Ge2As
_symmetry_space_group_name_H-M 'P 1'
_symmetry_Int_Tables_number 1
_cell_length_a 6.3792
_cell_length_b 6.3792
_cell_length_c 6.3792
_cell_angle_alpha 132.04
_cell_angle_beta 132.04
_cell_angle_gamma 70.17
loop_
_symmetry_equiv_pos_as_xyz
'x,y,z'
loop_
_atom_site_label
_atom_site_type_symbol
_atom_site_fract_x
_atom_site_fract_y
_atom_site_fract_z
_atom_site_occupancy
Ca1 Ca 0.2500 0.7500 0.5000 1
Ca2 Ca 0.7500 0.2500 0.5000 1
Ge1 Ge 0.1086 0.1086 0.0000 1
Ge2 Ge 0.8914 0.8914 0.0000 1
As1 As 0.5000 0.5000 0.0000 1
```

Computed properties:
DOS at the Fermi energy   0.92 states/eV/atom
Mass density   3.6 g/cm3
Excess energy over the best structure of this formula in the dataset   568 meV/atom
Space group   No. 139
Energy of formation from the pure elements   0 kJ per mole of atoms